Entry 1:
# HgBiS2I

A relaxed structure of HgBiS2I (PBE, Alexandria).

The energy relative to the elements, uncorrected comes out at 0.79 eV/atom. The value obtained for the relative energy among the computed polymorphs is 4.88 eV per formula unit. The density of states at the Fermi level is 0.85 states/eV/atom. The mass density comes out at 6.21 g/cm³. The total moment is 0.0 Bohr magnetons per cell. As for the electronic total energy: -2.012 eV per atom.

The structure belongs to space group P4/mmm (No. 123); the cell edges are 5.081, 5.081 and 6.224 Å and the angles 90.00°, 90.00° and 90.00°. Symmetry generates all atoms from Hg at (0.000, 0.000, 0.000), Bi at (0.500, 0.500, 0.000), S at (0.000, 0.500, 0.500) and I at (0.500, 0.500, 0.500).

---

Entry 2:
# PmHfCuRu

A relaxed structure of PmHfCuRu (PBE, Alexandria).

The density of states at the Fermi level is 0.84 states/eV/atom. The calculation puts the formation energy at -0.191 eV/atom. The mass density comes out at 10.44 g/cm³. The total moment is 0.0 Bohr magnetons per cell. As for the electronic total energy: -7.210 eV per atom.

The structure belongs to space group F-43m (No. 216); the cell edges are 6.772, 6.772 and 6.772 Å and the angles 90.00°, 90.00° and 90.00°. Symmetry generates all atoms from Pm at (0.000, 0.000, 0.000), Hf at (0.000, 0.000, 0.500), Cu at (0.250, 0.250, 0.750) and Ru at (0.250, 0.250, 0.250).

---

Entry 3:
# Ca2Be3Cu12Pd

A relaxed structure of Ca2Be3Cu12Pd (PBE, Alexandria).

The density of states at the Fermi level is 0.37 states/eV/atom. The calculation puts the formation energy at 0.362 eV/atom. The mass density comes out at 5.49 g/cm³. The total moment is 0.0 Bohr magnetons per cell. As for the electronic total energy: -3.501 eV per atom.

The structure belongs to space group R-3m (No. 166, hexagonal axes); the cell edges are 7.5446, 7.5446 and 17.9711 Å and the angles 90.00°, 90.00° and 120.00°. Symmetry generates all atoms from Ca at (0.0000, 0.0000, 0.1019), Be at (0.0000, 0.5000, 0.0000), Cu at (0.0206, 0.5103, 0.8824), Cu at (0.0417, 0.5209, 0.3568) and Pd at (0.0000, 0.0000, 0.5000).

---

Entry 4:
# GaBIO2

A relaxed structure of GaBIO2 (PBE, Alexandria).

The energy relative to the elements, uncorrected comes out at 0.26 eV/atom. The value obtained for the relative energy among the computed polymorphs is 0.00 eV per formula unit. The density of states at the Fermi level is 0.65 states/eV/atom. The mass density comes out at 4.36 g/cm³. The total moment is 0.0 Bohr magnetons per cell. As for the electronic total energy: -3.976 eV per atom.

The structure belongs to space group P4/mmm (No. 123); the cell edges are 3.700, 3.700 and 6.664 Å and the angles 90.00°, 90.00° and 90.00°. Symmetry generates all atoms from Ga at (0.000, 0.000, 0.000), B at (0.500, 0.500, 0.500), I at (0.000, 0.000, 0.500) and O at (0.000, 0.500, 0.000).

---

Entry 5:
# K2Li

A relaxed structure of K2Li (PBE, Alexandria).

The value obtained for the relative energy among the computed polymorphs is 0.16 eV per formula unit. The density of states at the Fermi level is 0.60 states/eV/atom. The calculation puts the formation energy at 0.149 eV/atom. The mass density comes out at 0.88 g/cm³. The total moment is 0.0 Bohr magnetons per cell. As for the electronic total energy: -1.220 eV per atom.

The structure belongs to space group Cmcm (No. 63); the cell edges are 4.299, 22.294 and 6.719 Å and the angles 90.00°, 90.00° and 90.00°. Symmetry generates all atoms from K at (0.000, 0.064, 0.250), K at (0.000, 0.359, 0.250) and Li at (0.000, 0.277, 0.750).